DFT (SCAN) results for ScAg2Pb at its PBEsol-relaxed geometry.

Unit cell a=4.239 b=4.239 c=4.433 alpha=90.00 beta=90.00 gamma=90.00
Space group P4/mmm (No. 123)
Asymmetric unit:
Sc 0.000 0.000 0.000 [1 per cell]
Ag 0.000 0.500 0.500 [2 per cell]
Pb 0.500 0.500 0.000 [1 per cell]

Values from the calculation:
- N(E_F): 2.0 states/eV/f.u.
- Total magnetization: 0.000 μB per atom
- DFT total energy: -38.42 eV/atom

=====

DFT (SCAN) results for NaSc2I6 at its PBEsol-relaxed geometry.

Unit cell a=7.4857 b=7.4857 c=13.4799 alpha=90.00 beta=90.00 gamma=120.00
Space group P-31c (No. 163)
Asymmetric unit:
Na 0.3333 0.6667 0.2500 [2 per cell]
Sc 0.0000 0.0000 0.0000 [2 per cell]
Sc 0.0000 0.0000 0.2500 [2 per cell]
I 0.0177 0.3220 0.8763 [12 per cell]

Values from the calculation:
- N(E_F): 1.5 states/eV/f.u.
- Total magnetization: 0.000 μB per atom
- DFT total energy: -29.48 eV/atom

=====

DFT (SCAN) results for KCuHg2 at its PBEsol-relaxed geometry.

Unit cell a=3.628 b=3.628 c=7.766 alpha=90.00 beta=90.00 gamma=90.00
Space group P4mm (No. 99)
Asymmetric unit:
K 0.000 0.000 0.000 [1 per cell]
Cu 0.500 0.500 0.359 [1 per cell]
Hg 0.000 0.000 0.417 [1 per cell]
Hg 0.500 0.500 0.700 [1 per cell]

Values from the calculation:
- N(E_F): 1.4 states/eV/f.u.
- Total magnetization: 0.000 μB per atom
- DFT total energy: -39.96 eV/atom